Record 1
The following is a GGA-PBE calculation of a geometry-optimized Pm2DyAl4Pt3 structure, from the Alexandria database.

Output
size of the total moment = 0.00 μB/atom
energy of formation = -9.2 eV per formula unit

a b c (Å): 4.2549 4.2549 11.5451
angles (deg): 90.00 90.00 90.00
Closest atoms and distances in Å follow each position.
Element x y z (fractional)
Pm 0.5000 0.0000 0.2275  8 Al 3.24-3.38, 4 Pt 3.25
Pm 0.0000 0.5000 0.7725  8 Al 3.24-3.38, 4 Pt 3.25
Dy 0.5000 0.5000 0.5000  4 Al 2.88, 4 Pt 3.01
Al 0.5000 0.5000 0.0000  4 Pt 2.54
Al 0.0000 0.0000 0.0000  4 Pt 2.54
Al 0.5000 0.0000 0.6681  1 Pt 2.44
Al 0.0000 0.5000 0.3319  1 Pt 2.44
Pt 0.0000 0.0000 0.5000  4 Al 2.88, 4 Dy 3.01
Pt 0.5000 0.0000 0.8795  5 Al 2.44-2.54
Pt 0.0000 0.5000 0.1205  5 Al 2.44-2.54



Record 2
The following is a GGA-PBE calculation of a geometry-optimized Cd2CuPb structure, from the Alexandria database.

Output
size of the total moment = 0.00 μB/atom
energy of formation = 0.4 eV per formula unit

a b c (Å): 3.2934 3.2927 8.1723
angles (deg): 90.00 90.00 90.00
Closest atoms and distances in Å follow each position.
Element x y z (fractional)
Pb 0.5000 0.5000 0.7500  4 Pb 3.29, 8 Cd 3.43
Cu 0.5000 0.5000 0.2500  8 Cd 2.80
Cd 0.0000 0.0000 0.0589  4 Cu 2.80, 1 Cd 3.12
Cd 0.0000 0.0000 0.4411  4 Cu 2.80, 1 Cd 3.12



> Which of these has the lowest energy of formation?

Pm2DyAl4Pt3



> Among the records above, which one has the lowest energy of formation?

Pm2DyAl4Pt3